VASP calculation (PBE) on a relaxed structure of TiCSCl2.

Geometry as POSCAR:
```
TiCSCl2
1.0
4.294 0.000 0.000
0.000 4.294 0.000
0.000 0.000 4.180
S Cl C Ti
1 2 1 1
direct
0.000 0.000 0.500
0.000 0.500 0.000
0.500 0.000 0.000
0.000 0.000 0.000
0.500 0.500 0.500
```

The density of states at the Fermi level is 5.702 states/eV/cell. For the energy relative to the lowest polymorph listed for this composition, the calculation gives 273 meV per atom. The space-group type is P4/mmm, No. 123. The total DFT energy (no corrections) is -20.6 eV for the cell shown. The total magnetization comes out at 0.01 μB/f.u.

VASP calculation (PBE) on a relaxed structure of FeNiRu2.

Geometry as POSCAR:
```
FeNiRu2
1.0
-1.101 -0.165 4.007
0.264 3.407 2.371
-3.463 1.912 1.286
Ru Fe Ni
2 1 1
direct
0.250 0.250 0.250
0.750 0.750 0.750
0.000 0.000 0.000
0.500 0.500 0.500
```

The calculated formation energy comes out at 0.20 eV per atom. The density of states at the Fermi level is 3.517 states/eV/cell. The space-group type is Fm-3m, No. 225. The total DFT energy (no corrections) is -32.0 eV for the cell shown. The total magnetization comes out at 2.59 μB/f.u.

VASP calculation (PBE) on a relaxed structure of Ca3PuRh3.

Geometry as POSCAR:
```
Ca3PuRh3
1.0
4.398 0.000 0.662
2.164 5.591 0.561
0.179 0.148 13.739
Ca Pu Rh
6 2 6
direct
0.497 0.366 0.639
0.503 0.634 0.361
0.271 0.249 0.209
0.729 0.751 0.791
0.394 0.284 0.928
0.606 0.716 0.072
0.775 0.043 0.408
0.225 0.957 0.592
0.878 0.684 0.560
0.122 0.316 0.440
0.093 0.894 0.921
0.907 0.106 0.079
0.953 0.851 0.242
0.047 0.149 0.758
```

The calculated formation energy comes out at -0.31 eV per atom. The density of states at the Fermi level is 23.239 states/eV/cell. The space-group type is C2/m, No. 12. The total DFT energy (no corrections) is -89.2 eV for the cell shown. The total magnetization comes out at 4.95 μB/f.u.

VASP calculation (PBE) on a relaxed structure of BaHgRu3.

Geometry as POSCAR:
```
BaHgRu3
1.0
-4.985 0.878 0.740
-0.854 -0.630 -5.004
-0.768 -5.000 0.761
Ru Hg Ba
3 1 1
direct
0.000 0.500 0.000
0.000 0.000 0.500
0.500 0.000 0.000
0.000 0.000 0.000
0.500 0.500 0.500
```

The calculated formation energy comes out at 1.62 eV per atom. The density of states at the Fermi level is 9.288 states/eV/cell. For the energy relative to the lowest polymorph listed for this composition, the calculation gives 0 meV per atom. The space-group type is Pm-3m, No. 221. The total DFT energy (no corrections) is -21.9 eV for the cell shown. The total magnetization comes out at 5.49 μB/f.u.

VASP calculation (PBE) on a relaxed structure of NbRh2I.

Geometry as POSCAR:
```
NbRh2I
1.0
6.197 0.000 0.000
0.000 6.197 0.000
3.098 3.098 5.214
I Nb Rh
2 2 4
direct
0.000 0.000 0.000
0.750 0.250 0.500
0.500 0.500 0.000
0.250 0.750 0.500
0.600 0.125 0.250
0.150 0.625 0.250
0.375 0.400 0.750
0.875 0.850 0.750
```

The density of states at the Fermi level is 3.402 states/eV/cell. For the energy relative to the lowest polymorph listed for this composition, the calculation gives 0 meV per atom. The space-group type is I-42d, No. 122. The total DFT energy (no corrections) is -48.8 eV for the cell shown. The total magnetization comes out at 0.00 μB/f.u.

VASP calculation (PBE) on a relaxed structure of Ba2In5Hg4.

Geometry as POSCAR:
```
Ba2In5Hg4
1.0
5.854 0.000 2.794
2.927 5.281 1.397
-1.355 0.000 10.367
Ba In Hg
2 5 4
direct
0.886 0.000 0.228
0.114 0.000 0.772
0.500 0.000 0.000
0.000 0.500 0.000
0.500 0.500 0.000
0.250 0.500 0.500
0.750 0.500 0.500
0.488 0.297 0.726
0.512 0.703 0.274
0.214 0.297 0.274
0.786 0.703 0.726
```

The calculated formation energy comes out at -0.26 eV per atom. The density of states at the Fermi level is 5.592 states/eV/cell. For the energy relative to the lowest polymorph listed for this composition, the calculation gives 26 meV per atom. The space-group type is Fmmm, No. 69. The total DFT energy (no corrections) is -21.6 eV for the cell shown. The total magnetization comes out at 0.00 μB/f.u.

VASP calculation (PBE) on a relaxed structure of KHgPdBr5.

Geometry as POSCAR:
```
KHgPdBr5
1.0
7.631 0.060 -0.002
-2.171 7.316 -0.002
-2.267 -3.063 9.615
K Hg Pd Br
2 2 2 10
direct
0.332 0.668 0.250
0.668 0.332 0.750
0.690 0.310 0.250
0.310 0.690 0.750
0.000 0.000 0.500
0.000 0.000 0.000
0.051 0.949 0.250
0.949 0.051 0.750
0.902 0.298 0.074
0.098 0.702 0.926
0.702 0.098 0.426
0.298 0.902 0.574
0.759 0.646 0.441
0.241 0.354 0.559
0.354 0.241 0.059
0.646 0.759 0.941
```

The density of states at the Fermi level is 7.750 states/eV/cell. The space-group type is C2/c, No. 15. The total DFT energy (no corrections) is -40.5 eV for the cell shown. The total magnetization comes out at 0.00 μB/f.u.

VASP calculation (PBE) on a relaxed structure of FeTc2HPt.

Geometry as POSCAR:
```
FeTc2HPt
1.0
3.840 0.000 0.000
0.000 3.840 0.000
0.000 0.000 3.871
H Tc Pt Fe
1 2 1 1
direct
0.000 0.000 0.000
0.000 0.500 0.000
0.500 0.000 0.000
0.500 0.500 0.500
0.000 0.000 0.500
```

The density of states at the Fermi level is 4.432 states/eV/cell. The space-group type is P4/mmm, No. 123. The total DFT energy (no corrections) is -38.5 eV for the cell shown. The total magnetization comes out at 0.00 μB/f.u.

Please write out number 8 again, unchanged.
VASP calculation (PBE) on a relaxed structure of FeTc2HPt.

Geometry as POSCAR:
```
FeTc2HPt
1.0
3.840 0.000 0.000
0.000 3.840 0.000
0.000 0.000 3.871
H Tc Pt Fe
1 2 1 1
direct
0.000 0.000 0.000
0.000 0.500 0.000
0.500 0.000 0.000
0.500 0.500 0.500
0.000 0.000 0.500
```

The density of states at the Fermi level is 4.432 states/eV/cell. The space-group type is P4/mmm, No. 123. The total DFT energy (no corrections) is -38.5 eV for the cell shown. The total magnetization comes out at 0.00 μB/f.u.

> What is the total DFT energy (no corrections) in the sixth record?

-21.6 eV for the cell shown

> total magnetization of number 1 (TiCSCl2)?

0.01 μB/f.u.

What did the sixth record say?
VASP calculation (PBE) on a relaxed structure of Ba2In5Hg4.

Geometry as POSCAR:
```
Ba2In5Hg4
1.0
5.854 0.000 2.794
2.927 5.281 1.397
-1.355 0.000 10.367
Ba In Hg
2 5 4
direct
0.886 0.000 0.228
0.114 0.000 0.772
0.500 0.000 0.000
0.000 0.500 0.000
0.500 0.500 0.000
0.250 0.500 0.500
0.750 0.500 0.500
0.488 0.297 0.726
0.512 0.703 0.274
0.214 0.297 0.274
0.786 0.703 0.726
```

The calculated formation energy comes out at -0.26 eV per atom. The density of states at the Fermi level is 5.592 states/eV/cell. For the energy relative to the lowest polymorph listed for this composition, the calculation gives 26 meV per atom. The space-group type is Fmmm, No. 69. The total DFT energy (no corrections) is -21.6 eV for the cell shown. The total magnetization comes out at 0.00 μB/f.u.